Entry 1:
Material: AcPuMgIn
Method: DFT, GGA-PBE
State: relaxed

formation energy from the elements: -0.0637 eV per atom

The structure in POSCAR format:
```
AcPuMgIn
1.0
-1.2164 -5.4425 -0.5477
0.0973 -3.3578 4.4851
-4.7894 -2.0245 2.0888
Pu In Mg Ac
1 1 1 1
Cartesian
-1.4771 -2.7062 1.5065 Pu
-2.9542 -5.4124 3.0131 In
0.0000 0.0000 0.0000 Mg
-4.4313 -8.1186 4.5196 Ac
```

---

Entry 2:
Material: Ac2MgIn12Rh3
Method: DFT, GGA-PBE
State: relaxed

formation energy from the elements: -0.0309 eV per atom

The structure in POSCAR format:
```
Ac2MgIn12Rh3
1.0
-2.2707 -7.3260 -3.9791
6.9796 -4.4591 -2.4621
1.2703 -6.8227 5.1475
In Rh Ac Mg
12 3 2 1
Cartesian
3.5415 -9.2971 -4.0249 In
-0.2000 -6.1148 -2.0494 In
0.3097 -9.6131 -2.7536 In
5.8687 -7.8903 -1.8419 In
5.6695 -8.9946 1.4599 In
0.1104 -10.7175 0.5482 In
4.1301 -4.7728 -1.3392 In
4.5216 -12.7285 -3.5166 In
2.4377 -9.3107 2.7312 In
1.4576 -5.8792 2.2229 In
1.8491 -13.8349 0.0455 In
6.1792 -12.4929 0.7556 In
3.4898 -2.2295 -1.2311 Rh
0.6352 -3.4113 2.5738 Rh
-1.1354 -3.6630 -1.9896 Rh
2.4258 -7.5493 -0.5249 Ac
3.5534 -11.0585 -0.7688 Ac
0.0000 0.0000 0.0000 Mg
```

---

Entry 3:
Material: Ac2MgIn2Rh5
Method: DFT, GGA-PBE
State: relaxed

formation energy from the elements: -0.3600 eV per atom

The structure in POSCAR format:
```
Ac2MgIn2Rh5
1.0
3.6853 0.0000 0.0000
0.0000 10.6550 0.0000
0.0000 0.0000 10.6550
Rh Ac Mg In
10 4 2 4
Cartesian
1.8426 10.0572 2.1268 Rh
1.8426 5.3275 0.0000 Rh
1.8426 5.9252 7.4543 Rh
1.8426 8.5281 10.0572 Rh
1.8426 7.4543 4.7297 Rh
1.8426 0.0000 5.3275 Rh
1.8426 2.1268 0.5978 Rh
1.8426 4.7297 3.2006 Rh
1.8426 3.2006 5.9252 Rh
1.8426 0.5978 8.5281 Rh
0.0000 7.1719 1.8444 Ac
0.0000 3.4831 8.8106 Ac
0.0000 1.8444 3.4831 Ac
0.0000 8.8106 7.1719 Ac
0.0000 0.0000 0.0000 Mg
0.0000 5.3275 5.3275 Mg
0.0000 3.9832 1.3443 In
0.0000 1.3443 6.6718 In
0.0000 6.6718 9.3106 In
0.0000 9.3106 3.9832 In
```